# ZnNiSb4 (PBE-GGA, optimized geometry)
# calculated total energy: -3.180 eV per atom
# ΔE_f (raw): 0.744 eV/atom
# volume: 27.1 A^3/atom
# spin magnetization: 0.71 μB per formula unit
# DOS at the Fermi energy: 1.44 states/eV/atom
data_ZnNiSb4
_chemical_formula_sum 'Zn4 Ni4 Sb16'
_symmetry_space_group_name_H-M 'F -4 3 m'
_symmetry_Int_Tables_number 216
_symmetry_space_group_name_Hall 'F -4 2 3'
_cell_length_a 8.664
_cell_length_b 8.664
_cell_length_c 8.664
_cell_angle_alpha 90.00
_cell_angle_beta 90.00
_cell_angle_gamma 90.00
loop_
_atom_site_label
_atom_site_type_symbol
_atom_site_fract_x
_atom_site_fract_y
_atom_site_fract_z
Zn1 Zn 0.000 0.000 0.000
Ni1 Ni 0.250 0.250 0.750
Sb1 Sb 0.126 0.126 0.374

=====

# NiHgSe2 (PBE-GGA, optimized geometry)
# calculated total energy: -3.431 eV per atom
# ΔE_f (raw): -0.168 eV/atom
# volume: 24.4 A^3/atom
# spin magnetization: 0.00 μB per formula unit
# DOS at the Fermi energy: 0.16 states/eV/atom
data_NiHgSe2
_chemical_formula_sum 'Ni4 Hg4 Se8'
_symmetry_space_group_name_H-M 'I -4 2 d'
_symmetry_Int_Tables_number 122
_symmetry_space_group_name_Hall 'I -4 2bw'
_cell_length_a 5.943
_cell_length_b 5.943
_cell_length_c 11.057
_cell_angle_alpha 90.00
_cell_angle_beta 90.00
_cell_angle_gamma 90.00
loop_
_atom_site_label
_atom_site_type_symbol
_atom_site_fract_x
_atom_site_fract_y
_atom_site_fract_z
Ni1 Ni 0.000 0.000 0.000
Hg1 Hg 0.000 0.000 0.500
Se1 Se 0.183 0.250 0.125

=====

# CePm2Sn3 (PBE-GGA, optimized geometry)
# calculated total energy: -5.097 eV per atom
# volume: 32.2 A^3/atom
# spin magnetization: 0.32 μB per formula unit
# DOS at the Fermi energy: 1.37 states/eV/atom
data_CePm2Sn3
_chemical_formula_sum 'Ce4 Pm8 Sn12'
_symmetry_space_group_name_H-M 'C 1 2/c 1'
_symmetry_Int_Tables_number 15
_symmetry_space_group_name_Hall '-C 2yc'
_cell_length_a 7.765
_cell_length_b 13.545
_cell_length_c 7.793
_cell_angle_alpha 90.00
_cell_angle_beta 109.66
_cell_angle_gamma 90.00
loop_
_atom_site_label
_atom_site_type_symbol
_atom_site_fract_x
_atom_site_fract_y
_atom_site_fract_z
Ce1 Ce 0.000 0.086 0.250
Pm1 Pm 0.000 0.253 0.750
Pm2 Pm 0.000 0.417 0.250
Sn1 Sn 0.242 0.081 0.997
Sn2 Sn 0.250 0.250 0.500

=====

# RbTlCo2Re (PBE-GGA, optimized geometry)
# calculated total energy: -3.105 eV per atom
# volume: 22.2 A^3/atom
# spin magnetization: 5.05 μB per formula unit
# DOS at the Fermi energy: 1.40 states/eV/atom
data_RbTlCo2Re
_chemical_formula_sum 'Rb1 Tl1 Co2 Re1'
_symmetry_space_group_name_H-M 'P 4/m m m'
_symmetry_Int_Tables_number 123
_symmetry_space_group_name_Hall '-P 4 2'
_cell_length_a 4.662
_cell_length_b 4.662
_cell_length_c 5.117
_cell_angle_alpha 90.00
_cell_angle_beta 90.00
_cell_angle_gamma 90.00
loop_
_atom_site_label
_atom_site_type_symbol
_atom_site_fract_x
_atom_site_fract_y
_atom_site_fract_z
Rb1 Rb 0.000 0.000 0.000
Tl1 Tl 0.500 0.500 0.500
Co1 Co 0.000 0.500 0.000
Re1 Re 0.000 0.000 0.500

=====

# TaIrOsS2 (PBE-GGA, optimized geometry)
# calculated total energy: -6.609 eV per atom
# ΔE_f (raw): 1.431 eV/atom
# volume: 21.0 A^3/atom
# spin magnetization: 2.43 μB per formula unit
# DOS at the Fermi energy: 0.90 states/eV/atom
data_TaIrOsS2
_chemical_formula_sum 'Ta1 Ir1 Os1 S2'
_symmetry_space_group_name_H-M 'P 4/m m m'
_symmetry_Int_Tables_number 123
_symmetry_space_group_name_Hall '-P 4 2'
_cell_length_a 4.588
_cell_length_b 4.588
_cell_length_c 4.985
_cell_angle_alpha 90.00
_cell_angle_beta 90.00
_cell_angle_gamma 90.00
loop_
_atom_site_label
_atom_site_type_symbol
_atom_site_fract_x
_atom_site_fract_y
_atom_site_fract_z
Ta1 Ta 0.000 0.000 0.000
Ir1 Ir 0.500 0.500 0.500
Os1 Os 0.000 0.000 0.500
S1 S 0.000 0.500 0.000

=====

# CaZnCd4 (PBE-GGA, optimized geometry)
# calculated total energy: -1.345 eV per atom
# volume: 23.3 A^3/atom
# excess energy over the best structure of this formula in the dataset: 0.0000 eV/atom
# spin magnetization: 0.00 μB per formula unit
# DOS at the Fermi energy: 0.48 states/eV/atom
data_CaZnCd4
_chemical_formula_sum 'Ca4 Zn4 Cd16'
_symmetry_space_group_name_H-M 'C m c m'
_symmetry_Int_Tables_number 63
_symmetry_space_group_name_Hall '-C 2c 2'
_cell_length_a 4.352
_cell_length_b 16.847
_cell_length_c 7.640
_cell_angle_alpha 90.00
_cell_angle_beta 90.00
_cell_angle_gamma 90.00
loop_
_atom_site_label
_atom_site_type_symbol
_atom_site_fract_x
_atom_site_fract_y
_atom_site_fract_z
Ca1 Ca 0.000 0.123 0.250
Zn1 Zn 0.000 0.239 0.750
Cd1 Cd 0.000 0.071 0.750
Cd2 Cd 0.000 0.321 0.055
Cd3 Cd 0.000 0.500 0.000